(1)
# Sc2TePd GGA-PBE optimized geometry
# Formation energy from raw total energies = -198 meV per atom
# Density = 5.37 g cm⁻³
data_Sc2TePd
_chemical_formula_sum 'Sc6 Te3 Pd3'
_cell_length_a 3.6122
_cell_length_b 3.6122
_cell_length_c 26.6166
_cell_angle_alpha 90.00
_cell_angle_beta 90.00
_cell_angle_gamma 120.00
_symmetry_space_group_name_H-M 'R -3 m'
_symmetry_Int_Tables_number 166
_symmetry_space_group_name_Hall '-R 3 2"'
loop_
_atom_site_label
_atom_site_type_symbol
_atom_site_fract_x
_atom_site_fract_y
_atom_site_fract_z
Sc1 Sc 0.0000 0.0000 0.0925
Te1 Te 0.0000 0.0000 0.5000
Pd1 Pd 0.0000 0.0000 0.0000

(2)
# ScTePd6 GGA-PBE optimized geometry
# Formation energy from raw total energies = -519 meV per atom
# Density = 10.16 g cm⁻³
data_ScTePd6
_chemical_formula_sum 'Sc1 Te1 Pd6'
_cell_length_a 4.037
_cell_length_b 4.037
_cell_length_c 8.128
_cell_angle_alpha 90.00
_cell_angle_beta 90.00
_cell_angle_gamma 90.00
_symmetry_space_group_name_H-M 'P 4/m m m'
_symmetry_Int_Tables_number 123
_symmetry_space_group_name_Hall '-P 4 2'
loop_
_atom_site_label
_atom_site_type_symbol
_atom_site_fract_x
_atom_site_fract_y
_atom_site_fract_z
Sc1 Sc 0.000 0.000 0.000
Te1 Te 0.000 0.000 0.500
Pd1 Pd 0.000 0.500 0.244
Pd2 Pd 0.500 0.500 0.000
Pd3 Pd 0.500 0.500 0.500

Looking at raw total energy for the records above, in order, we have -21.79; -44.78 eV per formula unit.